A relaxed KMgZnCd2 crystal, computed with GGA-PBE.

Values from the calculation:
ΔE_f: 0.088 eV/atom
raw total energy: -1.07 eV/atom
spin magnetization: 0.00 μB/cell

Unit cell a=5.2689 b=5.2689 c=5.1888 alpha=90.00 beta=90.00 gamma=90.00
With the nearest neighbours (Å) after each atom.
Sites, in units of the cell vectors:
Mg1 0.0000 0.0000 0.5000  2 Zn 2.59
Zn1 0.0000 0.0000 0.0000  2 Mg 2.59, 4 Cd 2.63
K1 0.5000 0.5000 0.5000  8 Cd 3.70, 4 Mg 3.73
Cd1 0.0000 0.5000 0.0000  2 Zn 2.63
Cd2 0.5000 0.0000 0.0000  2 Zn 2.63



A relaxed K2MgZn3Cd12 crystal, computed with GGA-PBE.

Values from the calculation:
ΔE_f: 0.169 eV/atom
raw total energy: -0.86 eV/atom
spin magnetization: 0.00 μB/cell

Unit cell a=8.8622 b=8.8622 c=8.8622 alpha=66.20 beta=66.20 gamma=66.20
With the nearest neighbours (Å) after each atom.
Sites, in units of the cell vectors:
K1 0.5931 0.5931 0.5931  6 Cd 3.56-3.74, 1 K 3.84
K2 0.4069 0.4069 0.4069  6 Cd 3.56-3.74, 1 K 3.84
Mg1 0.0000 0.0000 0.0000  6 Cd 2.84
Zn1 0.5000 0.0000 0.0000  6 Cd 2.73-2.80
Zn2 0.0000 0.5000 0.0000  6 Cd 2.73-2.80
Zn3 0.0000 0.0000 0.5000  6 Cd 2.73-2.80
Cd1 0.3371 0.3371 0.9912  2 Zn 2.73, 2 Cd 3.00
Cd2 0.8662 0.8662 0.3608  1 Zn 2.80, 1 Mg 2.84, 4 Cd 3.00-3.05
Cd3 0.3608 0.8662 0.8662  1 Zn 2.80, 1 Mg 2.84, 4 Cd 3.00-3.05
Cd4 0.9912 0.3371 0.3371  2 Zn 2.73, 2 Cd 3.00
Cd5 0.8662 0.3608 0.8662  1 Zn 2.80, 1 Mg 2.84, 4 Cd 3.00-3.05
Cd6 0.3371 0.9912 0.3371  2 Zn 2.73, 2 Cd 3.00
Cd7 0.6629 0.6629 0.0088  2 Zn 2.73, 2 Cd 3.00
Cd8 0.1338 0.1338 0.6392  1 Zn 2.80, 1 Mg 2.84, 4 Cd 3.00-3.05
Cd9 0.6392 0.1338 0.1338  1 Zn 2.80, 1 Mg 2.84, 4 Cd 3.00-3.05
Cd10 0.0088 0.6629 0.6629  2 Zn 2.73, 2 Cd 3.00
Cd11 0.1338 0.6392 0.1338  1 Zn 2.80, 1 Mg 2.84, 4 Cd 3.00-3.05
Cd12 0.6629 0.0088 0.6629  2 Zn 2.73, 2 Cd 3.00



A relaxed KMgZn2Cd crystal, computed with GGA-PBE.

Values from the calculation:
ΔE_f: 0.765 eV/atom
raw total energy: -0.47 eV/atom
spin magnetization: 0.00 μB/cell

Unit cell a=6.0963 b=6.0963 c=6.3773 alpha=90.00 beta=90.00 gamma=90.00
With the nearest neighbours (Å) after each atom.
Sites, in units of the cell vectors:
Mg1 0.5000 0.5000 0.5000  4 Cd 4.31, 8 Zn 4.41
Zn1 0.0000 0.5000 0.0000  2 K 3.05
Zn2 0.5000 0.0000 0.0000  2 K 3.05
K1 0.0000 0.0000 0.0000  4 Zn 3.05, 2 Cd 3.19
Cd1 0.0000 0.0000 0.5000  2 K 3.19



A relaxed K2MgZrCd crystal, computed with GGA-PBE.

Values from the calculation:
ΔE_f: 1.051 eV/atom
raw total energy: -1.60 eV/atom
spin magnetization: 4.51 μB/cell

Unit cell a=6.7852 b=5.8609 c=6.7852 alpha=90.00 beta=90.00 gamma=90.00
With the nearest neighbours (Å) after each atom.
Sites, in units of the cell vectors:
K1 0.0000 0.0000 0.5000  2 Zr 3.39
K2 0.5000 0.0000 0.0000  2 Zr 3.39
Mg1 0.0000 0.5000 0.0000  2 Zr 2.93
Zr1 0.0000 0.0000 0.0000  2 Mg 2.93
Cd1 0.5000 0.5000 0.5000  8 K 4.48, 4 Mg 4.80



A relaxed KMnCd crystal, computed with GGA-PBE.

Values from the calculation:
ΔE_f: 0.452 eV/atom
raw total energy: -3.27 eV/atom
spin magnetization: 4.05 μB/cell

Unit cell a=6.7984 b=6.7984 c=6.7984 alpha=153.23 beta=141.69 gamma=47.35
With the nearest neighbours (Å) after each atom.
Sites, in units of the cell vectors:
Cd1 0.9450 0.9450 0.0000  4 Mn 2.81, 2 Cd 3.15
K1 0.6639 0.6639 0.0000  2 K 3.15, 1 Mn 3.40, 1 Cd 3.50
Mn1 0.3911 0.3911 0.0000  4 Cd 2.81, 2 Mn 3.15



A relaxed KMn2Cd crystal, computed with GGA-PBE.

Values from the calculation:
ΔE_f: 0.784 eV/atom
raw total energy: -4.30 eV/atom
spin magnetization: 8.16 μB/cell

Unit cell a=10.9144 b=10.9144 c=10.9144 alpha=16.49 beta=16.49 gamma=16.49
With the nearest neighbours (Å) after each atom.
Sites, in units of the cell vectors:
Cd1 0.2500 0.2500 0.2500  6 Mn 2.93, 6 Cd 3.13
K1 0.7500 0.7500 0.7500  6 K 3.13
Mn1 0.9882 0.9882 0.9882  3 Cd 2.93, 6 Mn 3.13
Mn2 0.5118 0.5118 0.5118  3 Cd 2.93, 6 Mn 3.13



A relaxed KMn2Cd crystal, computed with GGA-PBE.

Values from the calculation:
ΔE_f: 0.902 eV/atom
raw total energy: -4.19 eV/atom
spin magnetization: 8.33 μB/cell

Unit cell a=5.1099 b=5.1099 c=5.1099 alpha=118.89 beta=118.89 gamma=91.94
With the nearest neighbours (Å) after each atom.
Sites, in units of the cell vectors:
Cd1 0.5000 0.5000 0.0000  4 Mn 3.15, 4 K 3.15
K1 0.7500 0.2500 0.5000  4 Cd 3.15, 4 Mn 3.15
Mn1 0.0000 0.0000 0.0000  4 Mn 3.15, 4 K 3.15
Mn2 0.2500 0.7500 0.5000  4 Mn 3.15, 4 Cd 3.15



A relaxed KMn2Cd crystal, computed with GGA-PBE.

Values from the calculation:
ΔE_f: 0.751 eV/atom
raw total energy: -4.34 eV/atom
spin magnetization: 7.61 μB/cell

Unit cell a=6.4057 b=6.4057 c=6.4057 alpha=153.45 beta=128.07 gamma=59.26
With the nearest neighbours (Å) after each atom.
Sites, in units of the cell vectors:
Cd1 0.5354 0.5354 0.0000  2 Mn 2.91, 2 Cd 2.94
K1 0.2468 0.7468 0.5000  2 K 2.94, 4 Mn 3.17
Mn1 0.9565 0.9565 0.0000  2 Mn 2.63
Mn2 0.7612 0.2612 0.5000  2 Mn 2.63, 2 Cd 2.91